The following is a DFT calculation (PBE) of crystalline Ac2TbErSe5 at its relaxed geometry.

* symmetry: P4/mmm, No. 123
* calculated total energy: -5.364 eV per atom
* formation energy without anion corrections: -1.49 eV/atom

abc: 5.1218 5.1218 10.9081
angles: 90.00 90.00 90.00
Closest atoms and distances in Å follow each position.
Positions (direct):
1 Ac 0.0000 0.0000 0.2107  5 Se 3.16-3.44
2 Ac 0.0000 0.0000 0.7893  5 Se 3.16-3.44
3 Tb 0.5000 0.5000 0.5000  2 Se 2.68
4 Er 0.5000 0.5000 0.0000  6 Se 2.56-2.78
5 Se 0.0000 0.0000 0.5000  2 Ac 3.16
6 Se 0.0000 0.5000 0.0000  2 Er 2.56
7 Se 0.5000 0.0000 0.0000  2 Er 2.56
8 Se 0.5000 0.5000 0.2545  1 Tb 2.68, 1 Er 2.78
9 Se 0.5000 0.5000 0.7455  1 Tb 2.68, 1 Er 2.78